Model P:
DFT (SCAN) results for Ca2BeTe at its PBEsol-relaxed geometry.

Values from the calculation:
The value obtained for the density is 3.61 Mg/m³. As for the total moment: 0.0 μB/cell.

The structure in CIF format:
```
data_Ca2BeTe
_symmetry_space_group_name_H-M 'I m m 2'
_symmetry_Int_Tables_number 44
_cell_length_a 3.778
_cell_length_b 4.725
_cell_length_c 11.180
_cell_angle_alpha 90.00
_cell_angle_beta 90.00
_cell_angle_gamma 90.00
loop_
_symmetry_equiv_pos_as_xyz
'x,y,z'
'-x,-y,z'
'-x,y,z'
'x,-y,z'
'x+1/2,y+1/2,z+1/2'
'-x+1/2,-y+1/2,z+1/2'
'-x+1/2,y+1/2,z+1/2'
'x+1/2,-y+1/2,z+1/2'
loop_
_atom_site_label
_atom_site_fract_x
_atom_site_fract_y
_atom_site_fract_z
Ca1 0.000 0.000 0.000
Ca2 0.000 0.500 0.221
Be1 0.000 0.500 0.762
Te1 0.000 0.000 0.421
```

---

Model Q:
DFT (SCAN) results for Ca2BeTe at its PBEsol-relaxed geometry.

Values from the calculation:
The value obtained for the density is 3.18 Mg/m³. As for the total moment: 0.0 μB/cell.

The structure in CIF format:
```
data_Ca2BeTe
_symmetry_space_group_name_H-M 'I -4 2 d'
_symmetry_Int_Tables_number 122
_symmetry_space_group_name_Hall 'I -4 2bw'
_cell_length_a 7.961
_cell_length_b 7.961
_cell_length_c 7.146
_cell_angle_alpha 90.00
_cell_angle_beta 90.00
_cell_angle_gamma 90.00
loop_
_atom_site_label
_atom_site_fract_x
_atom_site_fract_y
_atom_site_fract_z
Ca1 0.231 0.750 0.125
Be1 0.000 0.000 0.000
Te1 0.000 0.000 0.500
```

---

model P takes first place; second place is 0.115 eV/atom up.

---

Model P:
DFT (SCAN) results for CaBe2Tl at its PBEsol-relaxed geometry.

Values from the calculation:
The value obtained for the density is 5.14 Mg/m³. As for the total moment: 0.0 μB/cell.

The structure in CIF format:
```
data_CaBe2Tl
_symmetry_space_group_name_H-M 'I 41/a m d'
_symmetry_Int_Tables_number 141
_cell_length_a 4.505
_cell_length_b 4.505
_cell_length_c 16.718
_cell_angle_alpha 90.00
_cell_angle_beta 90.00
_cell_angle_gamma 90.00
loop_
_symmetry_equiv_pos_as_xyz
'x,y,z'
'-x,-y,-z'
'-y+1/4,x+3/4,z+1/4'
'y+1/4,-x+3/4,-z+1/4'
'-x+1/2,-y,z+1/2'
'x+1/2,y,-z+1/2'
'y+1/4,-x+1/4,z+3/4'
'-y+1/4,x+1/4,-z+3/4'
'x,-y,-z'
'-x,y,z'
'-y+1/4,-x+1/4,-z+3/4'
'y+1/4,x+1/4,z+3/4'
'-x+1/2,y,-z+1/2'
'x+1/2,-y,z+1/2'
'y+1/4,x+3/4,-z+1/4'
'-y+1/4,-x+3/4,z+1/4'
'x+1/2,y+1/2,z+1/2'
'-x+1/2,-y+1/2,-z+1/2'
'-y+3/4,x+1/4,z+3/4'
'y+3/4,-x+1/4,-z+3/4'
'-x,-y+1/2,z'
'x,y+1/2,-z'
'y+3/4,-x+3/4,z+1/4'
'-y+3/4,x+3/4,-z+1/4'
'x+1/2,-y+1/2,-z+1/2'
'-x+1/2,y+1/2,z+1/2'
'-y+3/4,-x+3/4,-z+1/4'
'y+3/4,x+3/4,z+1/4'
'-x,y+1/2,-z'
'x,-y+1/2,z'
'y+3/4,x+1/4,-z+3/4'
'-y+3/4,-x+1/4,z+3/4'
loop_
_atom_site_label
_atom_site_fract_x
_atom_site_fract_y
_atom_site_fract_z
Ca1 0.000 0.250 0.375
Be1 0.000 0.000 0.000
Tl1 0.000 0.250 0.875
```

---

Model Q:
DFT (SCAN) results for CaBe2Tl at its PBEsol-relaxed geometry.

Values from the calculation:
The value obtained for the density is 6.50 Mg/m³. As for the total moment: 0.0 μB/cell.

The structure in CIF format:
```
data_CaBe2Tl
_symmetry_space_group_name_H-M 'F m -3 m'
_symmetry_Int_Tables_number 225
_symmetry_space_group_name_Hall '-F 4 2 3'
_cell_length_a 6.450
_cell_length_b 6.450
_cell_length_c 6.450
_cell_angle_alpha 90.00
_cell_angle_beta 90.00
_cell_angle_gamma 90.00
loop_
_atom_site_label
_atom_site_fract_x
_atom_site_fract_y
_atom_site_fract_z
Ca1 0.000 0.000 0.000
Be1 0.250 0.250 0.250
Tl1 0.000 0.000 0.500
```

---

model P takes first place; second place is 0.072 eV/atom up.

---

Model P:
DFT (SCAN) results for BeCd3 at its PBEsol-relaxed geometry.

Values from the calculation:
The value obtained for the density is 7.93 Mg/m³. As for the total moment: 0.0 μB/cell.

The structure in CIF format:
```
data_BeCd3
_symmetry_space_group_name_H-M 'C m m m'
_symmetry_Int_Tables_number 65
_symmetry_space_group_name_Hall '-C 2 2'
_cell_length_a 5.569
_cell_length_b 7.841
_cell_length_c 3.322
_cell_angle_alpha 90.00
_cell_angle_beta 90.00
_cell_angle_gamma 90.00
loop_
_atom_site_label
_atom_site_fract_x
_atom_site_fract_y
_atom_site_fract_z
Be1 0.000 0.000 0.000
Cd1 0.000 0.500 0.000
Cd2 0.250 0.250 0.500
```

---

Model Q:
DFT (SCAN) results for BeCd3 at its PBEsol-relaxed geometry.

Values from the calculation:
The value obtained for the density is 8.20 Mg/m³. As for the total moment: 0.0 μB/cell.

The structure in CIF format:
```
data_BeCd3
_symmetry_space_group_name_H-M 'P -6 m 2'
_symmetry_Int_Tables_number 187
_symmetry_space_group_name_Hall 'P -6 2'
_cell_length_a 3.0201
_cell_length_b 3.0201
_cell_length_c 8.8724
_cell_angle_alpha 90.00
_cell_angle_beta 90.00
_cell_angle_gamma 120.00
loop_
_atom_site_label
_atom_site_fract_x
_atom_site_fract_y
_atom_site_fract_z
Be1 0.0000 0.0000 0.0000
Cd1 0.0000 0.0000 0.5000
Cd2 0.3333 0.6667 0.2164
```

---

model Q takes first place; second place is 0.080 eV/atom up.

---

Model P:
DFT (SCAN) results for BeCd at its PBEsol-relaxed geometry.

Values from the calculation:
The value obtained for the density is 7.10 Mg/m³. As for the total moment: 0.0 μB/cell.

The structure in CIF format:
```
data_BeCd
_symmetry_space_group_name_H-M 'P m -3 m'
_symmetry_Int_Tables_number 221
_symmetry_space_group_name_Hall '-P 4 2 3'
_cell_length_a 3.051
_cell_length_b 3.051
_cell_length_c 3.051
_cell_angle_alpha 90.00
_cell_angle_beta 90.00
_cell_angle_gamma 90.00
loop_
_atom_site_label
_atom_site_fract_x
_atom_site_fract_y
_atom_site_fract_z
Be1 0.000 0.000 0.000
Cd1 0.500 0.500 0.500
```

---

Model Q:
DFT (SCAN) results for BeCd at its PBEsol-relaxed geometry.

Values from the calculation:
The value obtained for the density is 6.64 Mg/m³. As for the total moment: 0.0 μB/cell.

The structure in CIF format:
```
data_BeCd
_symmetry_space_group_name_H-M 'P m m n'
_symmetry_Int_Tables_number 59
_cell_length_a 2.733
_cell_length_b 3.536
_cell_length_c 6.281
_cell_angle_alpha 90.00
_cell_angle_beta 90.00
_cell_angle_gamma 90.00
loop_
_symmetry_equiv_pos_as_xyz
'x,y,z'
'-x,-y,-z'
'-x+1/2,-y+1/2,z'
'x+1/2,y+1/2,-z'
'x+1/2,-y,-z'
'-x+1/2,y,z'
'-x,y+1/2,-z'
'x,-y+1/2,z'
loop_
_atom_site_label
_atom_site_fract_x
_atom_site_fract_y
_atom_site_fract_z
Be1 0.250 0.250 0.004
Cd1 0.250 0.750 0.341
```

---

Model R:
DFT (SCAN) results for BeCd at its PBEsol-relaxed geometry.

Values from the calculation:
The value obtained for the density is 6.66 Mg/m³. As for the total moment: 0.0 μB/cell.

The structure in CIF format:
```
data_BeCd
_symmetry_space_group_name_H-M 'P 63/m m c'
_symmetry_Int_Tables_number 194
_symmetry_space_group_name_Hall '-P 6c 2c'
_cell_length_a 4.0030
_cell_length_b 4.0030
_cell_length_c 8.7256
_cell_angle_alpha 90.00
_cell_angle_beta 90.00
_cell_angle_gamma 120.00
loop_
_atom_site_label
_atom_site_fract_x
_atom_site_fract_y
_atom_site_fract_z
Be1 0.0000 0.0000 0.2500
Be2 0.3333 0.6667 0.2500
Cd1 0.3333 0.6667 0.5921
```

---

model Q takes first place; second place is 0.052 eV/atom up.

---

Model P:
DFT (SCAN) results for BeCdFe2 at its PBEsol-relaxed geometry.

Values from the calculation:
The value obtained for the density is 7.95 Mg/m³. As for the total moment: 4.6 μB/cell.

The structure in CIF format:
```
data_BeCdFe2
_symmetry_space_group_name_H-M 'P 4 m m'
_symmetry_Int_Tables_number 99
_cell_length_a 2.833
_cell_length_b 2.833
_cell_length_c 6.064
_cell_angle_alpha 90.00
_cell_angle_beta 90.00
_cell_angle_gamma 90.00
loop_
_symmetry_equiv_pos_as_xyz
'x,y,z'
'-y,x,z'
'-x,-y,z'
'y,-x,z'
'-x,y,z'
'y,x,z'
'x,-y,z'
'-y,-x,z'
loop_
_atom_site_label
_atom_site_fract_x
_atom_site_fract_y
_atom_site_fract_z
Be1 0.000 0.000 0.000
Cd1 0.500 0.500 0.294
Fe1 0.000 0.000 0.612
Fe2 0.500 0.500 0.815
```

---

Model Q:
DFT (SCAN) results for BeCdFe2 at its PBEsol-relaxed geometry.

Values from the calculation:
The value obtained for the density is 8.04 Mg/m³. As for the total moment: 4.8 μB/cell.

The structure in CIF format:
```
data_BeCdFe2
_symmetry_space_group_name_H-M 'P 4/m m m'
_symmetry_Int_Tables_number 123
_symmetry_space_group_name_Hall '-P 4 2'
_cell_length_a 2.641
_cell_length_b 2.641
_cell_length_c 6.905
_cell_angle_alpha 90.00
_cell_angle_beta 90.00
_cell_angle_gamma 90.00
loop_
_atom_site_label
_atom_site_fract_x
_atom_site_fract_y
_atom_site_fract_z
Be1 0.000 0.000 0.000
Cd1 0.000 0.000 0.500
Fe1 0.500 0.500 0.196
```

---

Model R:
DFT (SCAN) results for BeCdFe2 at its PBEsol-relaxed geometry.

Values from the calculation:
The value obtained for the density is 7.89 Mg/m³. As for the total moment: 20.0 μB/cell.

The structure in CIF format:
```
data_BeCdFe2
_symmetry_space_group_name_H-M 'F -4 3 m'
_symmetry_Int_Tables_number 216
_symmetry_space_group_name_Hall 'F -4 2 3'
_cell_length_a 5.812
_cell_length_b 5.812
_cell_length_c 5.812
_cell_angle_alpha 90.00
_cell_angle_beta 90.00
_cell_angle_gamma 90.00
loop_
_atom_site_label
_atom_site_fract_x
_atom_site_fract_y
_atom_site_fract_z
Be1 0.000 0.000 0.000
Cd1 0.250 0.250 0.750
Fe1 0.000 0.000 0.500
Fe2 0.250 0.250 0.250
```

---

model Q takes first place; second place is 0.035 eV/atom up.

---

Model P:
DFT (SCAN) results for Be2CdHg at its PBEsol-relaxed geometry.

Values from the calculation:
The value obtained for the density is 8.54 Mg/m³. As for the total moment: 0.0 μB/cell.

The structure in CIF format:
```
data_Be2CdHg
_symmetry_space_group_name_H-M 'C 1 2/m 1'
_symmetry_Int_Tables_number 12
_cell_length_a 5.495
_cell_length_b 8.383
_cell_length_c 3.132
_cell_angle_alpha 90.00
_cell_angle_beta 116.89
_cell_angle_gamma 90.00
loop_
_symmetry_equiv_pos_as_xyz
'x,y,z'
'-x,-y,-z'
'-x,y,-z'
'x,-y,z'
'x+1/2,y+1/2,z'
'-x+1/2,-y+1/2,-z'
'-x+1/2,y+1/2,-z'
'x+1/2,-y+1/2,z'
loop_
_atom_site_label
_atom_site_fract_x
_atom_site_fract_y
_atom_site_fract_z
Be1 0.250 0.250 0.000
Cd1 0.000 0.000 0.000
Hg1 0.000 0.500 0.000
```

---

Model Q:
DFT (SCAN) results for Be2CdHg at its PBEsol-relaxed geometry.

Values from the calculation:
The value obtained for the density is 8.12 Mg/m³. As for the total moment: 0.0 μB/cell.

The structure in CIF format:
```
data_Be2CdHg
_symmetry_space_group_name_H-M 'C 1 2/m 1'
_symmetry_Int_Tables_number 12
_cell_length_a 7.143
_cell_length_b 4.182
_cell_length_c 4.609
_cell_angle_alpha 90.00
_cell_angle_beta 100.41
_cell_angle_gamma 90.00
loop_
_symmetry_equiv_pos_as_xyz
'x,y,z'
'-x,-y,-z'
'-x,y,-z'
'x,-y,z'
'x+1/2,y+1/2,z'
'-x+1/2,-y+1/2,-z'
'-x+1/2,y+1/2,-z'
'x+1/2,-y+1/2,z'
loop_
_atom_site_label
_atom_site_fract_x
_atom_site_fract_y
_atom_site_fract_z
Be1 0.170 0.000 0.034
Cd1 0.000 0.000 0.500
Hg1 0.000 0.500 0.000
```

---

model Q takes first place; second place is 0.220 eV/atom up.

---

Model P:
DFT (SCAN) results for Be2CdHg at its PBEsol-relaxed geometry.

Values from the calculation:
The value obtained for the density is 9.24 Mg/m³. As for the total moment: 0.0 μB/cell.

The structure in CIF format:
```
data_Be2CdHg
_symmetry_space_group_name_H-M 'I -4 m 2'
_symmetry_Int_Tables_number 119
_symmetry_space_group_name_Hall 'I -4 -2'
_cell_length_a 3.832
_cell_length_b 3.832
_cell_length_c 8.102
_cell_angle_alpha 90.00
_cell_angle_beta 90.00
_cell_angle_gamma 90.00
loop_
_atom_site_label
_atom_site_fract_x
_atom_site_fract_y
_atom_site_fract_z
Be1 0.000 0.000 0.000
Be2 0.000 0.500 0.250
Cd1 0.000 0.000 0.500
Hg1 0.000 0.500 0.750
```

---

Model Q:
DFT (SCAN) results for Be2CdHg at its PBEsol-relaxed geometry.

Values from the calculation:
The value obtained for the density is 8.39 Mg/m³. As for the total moment: 0.0 μB/cell.

The structure in CIF format:
```
data_Be2CdHg
_symmetry_space_group_name_H-M 'C m m m'
_symmetry_Int_Tables_number 65
_symmetry_space_group_name_Hall '-C 2 2'
_cell_length_a 2.734
_cell_length_b 5.718
_cell_length_c 8.379
_cell_angle_alpha 90.00
_cell_angle_beta 90.00
_cell_angle_gamma 90.00
loop_
_atom_site_label
_atom_site_fract_x
_atom_site_fract_y
_atom_site_fract_z
Be1 0.000 0.000 0.247
Cd1 0.000 0.500 0.500
Hg1 0.000 0.500 0.000
```

---

model P takes first place; second place is 0.017 eV/atom up.

---

Model P:
DFT (SCAN) results for BeCdHg at its PBEsol-relaxed geometry.

Values from the calculation:
The value obtained for the density is 9.81 Mg/m³. As for the total moment: 0.0 μB/cell.

The structure in CIF format:
```
data_BeCdHg
_symmetry_space_group_name_H-M 'F m m 2'
_symmetry_Int_Tables_number 42
_symmetry_space_group_name_Hall 'F 2 -2'
_cell_length_a 2.823
_cell_length_b 5.797
_cell_length_c 13.315
_cell_angle_alpha 90.00
_cell_angle_beta 90.00
_cell_angle_gamma 90.00
loop_
_atom_site_label
_atom_site_fract_x
_atom_site_fract_y
_atom_site_fract_z
Be1 0.000 0.000 0.000
Cd1 0.000 0.000 0.344
Hg1 0.000 0.000 0.650
```

---

Model Q:
DFT (SCAN) results for BeCdHg at its PBEsol-relaxed geometry.

Values from the calculation:
The value obtained for the density is 8.81 Mg/m³. As for the total moment: 0.0 μB/cell.

The structure in CIF format:
```
data_BeCdHg
_symmetry_space_group_name_H-M 'F -4 3 m'
_symmetry_Int_Tables_number 216
_symmetry_space_group_name_Hall 'F -4 2 3'
_cell_length_a 6.237
_cell_length_b 6.237
_cell_length_c 6.237
_cell_angle_alpha 90.00
_cell_angle_beta 90.00
_cell_angle_gamma 90.00
loop_
_atom_site_label
_atom_site_fract_x
_atom_site_fract_y
_atom_site_fract_z
Be1 0.000 0.000 0.000
Cd1 0.250 0.250 0.750
Hg1 0.000 0.000 0.500
```

---

Model R:
DFT (SCAN) results for BeCdHg at its PBEsol-relaxed geometry.

Values from the calculation:
The value obtained for the density is 10.16 Mg/m³. As for the total moment: 0.0 μB/cell.

The structure in CIF format:
```
data_BeCdHg
_symmetry_space_group_name_H-M 'P -6 m 2'
_symmetry_Int_Tables_number 187
_symmetry_space_group_name_Hall 'P -6 2'
_cell_length_a 4.3024
_cell_length_b 4.3024
_cell_length_c 3.2832
_cell_angle_alpha 90.00
_cell_angle_beta 90.00
_cell_angle_gamma 120.00
loop_
_atom_site_label
_atom_site_fract_x
_atom_site_fract_y
_atom_site_fract_z
Be1 0.0000 0.0000 0.0000
Cd1 0.6667 0.3333 0.5000
Hg1 0.3333 0.6667 0.0000
```

---

model R takes first place; second place is 0.049 eV/atom up.